! GGA-PBE Na2Cd2Au, relaxed; values from VASP
&SYSTEM
  ibrav = 0, nat = 10, ntyp = 3
/
ATOMIC_SPECIES
Na 22.99 Na.upf
Cd 112.41 Cd.upf
Au 196.97 Au.upf
CELL_PARAMETERS angstrom
4.605 0.000 0.000
2.302 5.061 0.000
0.002 2.809 10.481
ATOMIC_POSITIONS crystal
Na 0.012 0.477 0.153
Na 0.375 0.752 0.311
Na 0.625 0.248 0.689
Na 0.988 0.523 0.847
Cd 0.128 0.245 0.457
Cd 0.323 0.852 0.957
Cd 0.677 0.148 0.043
Cd 0.872 0.755 0.543
Au 0.326 0.847 0.695
Au 0.674 0.153 0.305
! Crystal system = triclinic
! M_tot = 0.0 μB per cell
! DOS at the Fermi energy = 3.4 states/eV per cell
! E above lowest polymorph = 0.0 kJ per mole of atoms
! Space group = P-1, No. 2
! Energy of formation = -0.215 eV/atom